[1]
A plane-wave DFT calculation with PBE was carried out for a relaxed KRbCoAs2 crystal.

- E_form (eV/atom) = 0.068
- raw total energy (eV per cell) = -18.13
- DOS(E_F) (states/eV per cell) = 1.8
- magnetization (Bohr magnetons per cell) = 1.138

Cell and atoms, written as CIF:
```
data_KRbCoAs2
_space_group_name_H-M_alt 'P 4/m m m'
_space_group_IT_number 123
_space_group_name_Hall '-P 4 2'
_cell_length_a 4.747
_cell_length_b 4.747
_cell_length_c 5.769
_cell_angle_alpha 90.00
_cell_angle_beta 90.00
_cell_angle_gamma 90.00
loop_
_atom_site_label
_atom_site_fract_x
_atom_site_fract_y
_atom_site_fract_z
_atom_site_occupancy
K1 0.000 0.000 0.000 1
Rb1 0.500 0.500 0.000 1
Co1 0.500 0.500 0.500 1
As1 0.000 0.500 0.500 1
```


[2]
A plane-wave DFT calculation with PBE was carried out for a relaxed LiLa2AgSe4 crystal.

- raw total energy (eV per cell) = -40.44
- DOS(E_F) (states/eV per cell) = 0.0
- formation energy (no corrections) (eV per atom) = -1.485
- magnetization (Bohr magnetons per cell) = 0.000

Cell and atoms, written as CIF:
```
data_LiLa2AgSe4
_space_group_name_H-M_alt 'P 1 2/m 1'
_space_group_IT_number 10
_space_group_name_Hall '-P 2y'
_cell_length_a 6.866
_cell_length_b 4.356
_cell_length_c 7.556
_cell_angle_alpha 90.00
_cell_angle_beta 111.87
_cell_angle_gamma 90.00
loop_
_atom_site_label
_atom_site_fract_x
_atom_site_fract_y
_atom_site_fract_z
_atom_site_occupancy
Li1 0.000 0.000 0.000 1
La1 0.500 0.000 0.500 1
La2 0.500 0.500 0.000 1
Ag1 0.000 0.500 0.500 1
Se1 0.240 0.000 0.749 1
Se2 0.242 0.500 0.243 1
```


[3]
A plane-wave DFT calculation with PBE was carried out for a relaxed BeHg2Os crystal.

- E_form (eV/atom) = 0.593
- raw total energy (eV per cell) = -26.37
- DOS(E_F) (states/eV per cell) = 4.3
- magnetization (Bohr magnetons per cell) = 0.000

Cell and atoms, written as CIF:
```
data_BeHg2Os
_space_group_name_H-M_alt 'C 1 m 1'
_space_group_IT_number 8
_space_group_name_Hall 'C -2y'
_cell_length_a 10.728
_cell_length_b 3.073
_cell_length_c 4.521
_cell_angle_alpha 90.00
_cell_angle_beta 114.17
_cell_angle_gamma 90.00
loop_
_atom_site_label
_atom_site_fract_x
_atom_site_fract_y
_atom_site_fract_z
_atom_site_occupancy
Be1 0.000 0.000 0.000 1
Hg1 0.059 0.500 0.560 1
Hg2 0.275 0.500 0.270 1
Os1 0.334 0.000 0.828 1
```


[4]
A plane-wave DFT calculation with PBE was carried out for a relaxed Ca3Ga4Pd7 crystal.

- E_form (eV/atom) = -0.751
- raw total energy (eV per cell) = -129.94
- DOS(E_F) (states/eV per cell) = 10.8
- magnetization (Bohr magnetons per cell) = 0.000

Cell and atoms, written as CIF:
```
data_Ca3Ga4Pd7
_space_group_name_H-M_alt 'C 1 2/m 1'
_space_group_IT_number 12
_space_group_name_Hall '-C 2y'
_cell_length_a 15.809
_cell_length_b 4.186
_cell_length_c 9.556
_cell_angle_alpha 90.00
_cell_angle_beta 125.46
_cell_angle_gamma 90.00
loop_
_atom_site_label
_atom_site_fract_x
_atom_site_fract_y
_atom_site_fract_z
_atom_site_occupancy
Ca1 0.000 0.000 0.000 1
Ca2 0.171 0.500 0.668 1
Ga1 0.113 0.000 0.835 1
Ga2 0.166 0.500 0.277 1
Pd1 0.000 0.000 0.500 1
Pd2 0.007 0.500 0.281 1
Pd3 0.161 0.000 0.423 1
Pd4 0.192 0.500 0.037 1
```


[5]
A plane-wave DFT calculation with PBE was carried out for a relaxed CuReSi2 crystal.

- offset from the most stable computed form (meV/atom) = 382
- raw total energy (eV per cell) = -52.85
- DOS(E_F) (states/eV per cell) = 4.5
- formation energy (no corrections) (eV per atom) = 0.242
- magnetization (Bohr magnetons per cell) = 0.000

Cell and atoms, written as CIF:
```
data_CuReSi2
_space_group_name_H-M_alt 'C 1 2/m 1'
_space_group_IT_number 12
_space_group_name_Hall '-C 2y'
_cell_length_a 5.424
_cell_length_b 8.176
_cell_length_c 2.845
_cell_angle_alpha 90.00
_cell_angle_beta 117.42
_cell_angle_gamma 90.00
loop_
_atom_site_label
_atom_site_fract_x
_atom_site_fract_y
_atom_site_fract_z
_atom_site_occupancy
Cu1 0.000 0.000 0.000 1
Re1 0.000 0.500 0.000 1
Si1 0.250 0.250 0.000 1
```


[6]
A plane-wave DFT calculation with PBE was carried out for a relaxed Tm2MgIn crystal.

- E_form (eV/atom) = -0.288
- offset from the most stable computed form (meV/atom) = 0
- raw total energy (eV per cell) = -57.72
- DOS(E_F) (states/eV per cell) = 11.0
- magnetization (Bohr magnetons per cell) = 0.000

Cell and atoms, written as CIF:
```
data_Tm2MgIn
_space_group_name_H-M_alt 'F m -3 m'
_space_group_IT_number 225
_space_group_name_Hall '-F 4 2 3'
_cell_length_a 7.420
_cell_length_b 7.420
_cell_length_c 7.420
_cell_angle_alpha 90.00
_cell_angle_beta 90.00
_cell_angle_gamma 90.00
loop_
_atom_site_label
_atom_site_fract_x
_atom_site_fract_y
_atom_site_fract_z
_atom_site_occupancy
Tm1 0.250 0.250 0.250 1
Mg1 0.000 0.000 0.000 1
In1 0.000 0.000 0.500 1
```


[7]
A plane-wave DFT calculation with PBE was carried out for a relaxed HgPtSe2 crystal.

- offset from the most stable computed form (meV/atom) = 1
- raw total energy (eV per cell) = -28.96
- DOS(E_F) (states/eV per cell) = 0.0
- formation energy (no corrections) (eV per atom) = -0.292
- magnetization (Bohr magnetons per cell) = 0.000

Cell and atoms, written as CIF:
```
data_HgPtSe2
_space_group_name_H-M_alt 'C 1 m 1'
_space_group_IT_number 8
_space_group_name_Hall 'C -2y'
_cell_length_a 6.487
_cell_length_b 3.748
_cell_length_c 9.043
_cell_angle_alpha 90.00
_cell_angle_beta 92.44
_cell_angle_gamma 90.00
loop_
_atom_site_label
_atom_site_fract_x
_atom_site_fract_y
_atom_site_fract_z
_atom_site_occupancy
Hg1 0.000 0.000 0.000 1
Pt1 0.495 0.500 0.500 1
Se1 0.153 0.500 0.354 1
Se2 0.337 0.000 0.646 1
```


[8]
A plane-wave DFT calculation with PBE was carried out for a relaxed Dy3SbH3 crystal.

- raw total energy (eV per cell) = -64.81
- DOS(E_F) (states/eV per cell) = 8.5
- magnetization (Bohr magnetons per cell) = 0.000

Cell and atoms, written as CIF:
```
data_Dy3SbH3
_space_group_name_H-M_alt 'P m -3 n'
_space_group_IT_number 223
_space_group_name_Hall '-P 4n 2 3'
_cell_length_a 6.201
_cell_length_b 6.201
_cell_length_c 6.201
_cell_angle_alpha 90.00
_cell_angle_beta 90.00
_cell_angle_gamma 90.00
loop_
_atom_site_label
_atom_site_fract_x
_atom_site_fract_y
_atom_site_fract_z
_atom_site_occupancy
Dy1 0.000 0.250 0.500 1
Sb1 0.000 0.000 0.000 1
H1 0.000 0.500 0.250 1
```


[9]
A plane-wave DFT calculation with PBE was carried out for a relaxed CrAgBi2 crystal.

- E_form (eV/atom) = 0.338
- raw total energy (eV per cell) = -75.54
- DOS(E_F) (states/eV per cell) = 8.0
- magnetization (Bohr magnetons per cell) = 16.406

Cell and atoms, written as CIF:
```
data_CrAgBi2
_space_group_name_H-M_alt 'F m -3 m'
_space_group_IT_number 225
_space_group_name_Hall '-F 4 2 3'
_cell_length_a 7.278
_cell_length_b 7.278
_cell_length_c 7.278
_cell_angle_alpha 90.00
_cell_angle_beta 90.00
_cell_angle_gamma 90.00
loop_
_atom_site_label
_atom_site_fract_x
_atom_site_fract_y
_atom_site_fract_z
_atom_site_occupancy
Cr1 0.000 0.000 0.000 1
Ag1 0.000 0.000 0.500 1
Bi1 0.250 0.250 0.250 1
```


[10]
A plane-wave DFT calculation with PBE was carried out for a relaxed In2ReTe crystal.

- raw total energy (eV per cell) = -19.87
- DOS(E_F) (states/eV per cell) = 1.6
- formation energy (no corrections) (eV per atom) = 0.299
- magnetization (Bohr magnetons per cell) = 0.000

Cell and atoms, written as CIF:
```
data_In2ReTe
_space_group_name_H-M_alt 'P 4 m m'
_space_group_IT_number 99
_space_group_name_Hall 'P 4 -2'
_cell_length_a 3.259
_cell_length_b 3.259
_cell_length_c 8.874
_cell_angle_alpha 90.00
_cell_angle_beta 90.00
_cell_angle_gamma 90.00
loop_
_atom_site_label
_atom_site_fract_x
_atom_site_fract_y
_atom_site_fract_z
_atom_site_occupancy
In1 0.000 0.000 0.000 1
In2 0.500 0.500 0.271 1
Re1 0.000 0.000 0.483 1
Te1 0.500 0.500 0.648 1
```


[11]
A plane-wave DFT calculation with PBE was carried out for a relaxed Nd3Dy5Ho4 crystal.

- E_form (eV/atom) = 0.017
- offset from the most stable computed form (meV/atom) = 0
- raw total energy (eV per cell) = -55.42
- DOS(E_F) (states/eV per cell) = 15.5
- magnetization (Bohr magnetons per cell) = 0.000

Cell and atoms, written as CIF:
```
data_Nd3Dy5Ho4
_space_group_name_H-M_alt 'P -1'
_space_group_IT_number 2
_space_group_name_Hall '-P 1'
_cell_length_a 6.182
_cell_length_b 7.137
_cell_length_c 8.741
_cell_angle_alpha 90.03
_cell_angle_beta 90.12
_cell_angle_gamma 90.18
loop_
_atom_site_label
_atom_site_fract_x
_atom_site_fract_y
_atom_site_fract_z
_atom_site_occupancy
Nd1 0.000 0.000 0.000 1
Nd2 0.166 0.749 0.666 1
Dy1 0.000 0.500 0.000 1
Dy2 0.335 0.000 0.333 1
Dy3 0.499 0.251 0.000 1
Ho1 0.168 0.251 0.666 1
Ho2 0.334 0.500 0.333 1
```


[12]
A plane-wave DFT calculation with PBE was carried out for a relaxed CsBa2InHg crystal.

- E_form (eV/atom) = 0.638
- raw total energy (eV per cell) = -4.55
- DOS(E_F) (states/eV per cell) = 4.9
- magnetization (Bohr magnetons per cell) = 0.000

Cell and atoms, written as CIF:
```
data_CsBa2InHg
_space_group_name_H-M_alt 'P 4/m m m'
_space_group_IT_number 123
_space_group_name_Hall '-P 4 2'
_cell_length_a 6.805
_cell_length_b 6.805
_cell_length_c 6.049
_cell_angle_alpha 90.00
_cell_angle_beta 90.00
_cell_angle_gamma 90.00
loop_
_atom_site_label
_atom_site_fract_x
_atom_site_fract_y
_atom_site_fract_z
_atom_site_occupancy
Cs1 0.000 0.000 0.000 1
Ba1 0.000 0.500 0.000 1
In1 0.000 0.000 0.500 1
Hg1 0.500 0.500 0.500 1
```